# PBE-GGA Cu2Ge2Au, optimized geometry
# energy relative to the elements	215	meV per atom
# offset from the most stable computed form	0.44	eV/f.u.
# E_tot	-3.926	eV per atom
data_Cu2Ge2Au
_cell_length_a 3.6681
_cell_length_b 3.6681
_cell_length_c 12.1242
_cell_angle_alpha 90.00
_cell_angle_beta 90.00
_cell_angle_gamma 90.00
_space_group_name_H-M_alt 'I 4/m m m'
_space_group_IT_number 139
_space_group_name_Hall '-I 4 2'
loop_
_atom_site_label
_atom_site_fract_x
_atom_site_fract_y
_atom_site_fract_z
Cu1 0.0000 0.0000 0.0993
Ge1 0.0000 0.5000 0.2500
Au1 0.0000 0.0000 0.5000